Li2HgP4O12 | PBE | optimized geometry

a = 9.559 Å, b = 9.727 Å, c = 10.402 Å
α = 90.00°, β = 90.00°, γ = 91.31°
Positions (direct):
1 O 0.417 0.335 0.035
2 O 0.460 0.893 0.703
3 O 0.249 0.894 0.291
4 O 0.345 0.668 0.062
5 O 0.094 0.663 0.010
6 O 0.523 0.860 0.118
7 O 0.745 0.357 0.623
8 O 0.540 0.607 0.203
9 O 0.165 0.342 0.983
10 O 0.760 0.114 0.023
11 O 0.032 0.887 0.717
12 O 0.523 0.360 0.382
13 O 0.968 0.613 0.217
14 O 0.240 0.386 0.523
15 O 0.655 0.832 0.562
16 O 0.417 0.835 0.465
17 O 0.165 0.842 0.517
18 O 0.583 0.165 0.535
19 O 0.969 0.861 0.120
20 O 0.255 0.643 0.377
21 O 0.745 0.857 0.877
22 O 0.835 0.158 0.483
23 O 0.751 0.606 0.791
24 O 0.655 0.332 0.938
25 O 0.032 0.387 0.783
26 O 0.460 0.393 0.797
27 O 0.267 0.682 0.828
28 O 0.249 0.394 0.209
29 O 0.733 0.318 0.172
30 O 0.906 0.337 0.990
31 O 0.345 0.168 0.438
32 O 0.969 0.361 0.380
33 O 0.031 0.639 0.620
34 O 0.477 0.640 0.618
35 O 0.240 0.886 0.977
36 O 0.583 0.665 0.965
37 O 0.094 0.163 0.490
38 O 0.835 0.658 0.017
39 O 0.760 0.614 0.477
40 O 0.031 0.139 0.880
41 O 0.540 0.107 0.297
42 O 0.267 0.182 0.672
43 O 0.477 0.140 0.882
44 O 0.968 0.113 0.283
45 O 0.255 0.143 0.123
46 O 0.751 0.106 0.709
47 O 0.733 0.818 0.328
48 O 0.906 0.837 0.510
49 Li 0.891 0.999 0.812
50 Li 0.396 0.002 0.191
51 Li 0.604 0.498 0.691
52 Li 0.891 0.499 0.688
53 Li 0.109 0.501 0.312
54 Li 0.604 0.998 0.809
55 Li 0.109 0.001 0.188
56 Li 0.396 0.502 0.309
57 P 0.493 0.293 0.902
58 P 0.966 0.208 0.397
59 P 0.034 0.792 0.603
60 P 0.762 0.269 0.038
61 P 0.507 0.207 0.402
62 P 0.238 0.731 0.962
63 P 0.034 0.292 0.897
64 P 0.267 0.795 0.401
65 P 0.238 0.231 0.538
66 P 0.733 0.205 0.599
67 P 0.762 0.769 0.462
68 P 0.966 0.708 0.103
69 P 0.267 0.295 0.099
70 P 0.507 0.707 0.098
71 P 0.733 0.705 0.901
72 P 0.493 0.793 0.598
73 Hg 0.750 0.990 0.197
74 Hg 0.750 0.490 0.303
75 Hg 0.250 0.510 0.697
76 Hg 0.250 0.010 0.803

Results
N(E_F) = 0.0 states/eV/f.u.
Uncorrected formation energy = -2.017 eV/atom